## MgCoBr (PBE)

Data for a relaxed MgCoBr crystal.

Cell and atoms, written as POSCAR:
```
MgCoBr
1.0
3.7535 -0.0463 0.0008
-1.8370 3.2736 -0.0002
-0.1592 -2.0856 11.1229
Mg Co Br
2 2 2
Direct
0.9933 0.1351 0.4533
0.1182 0.3601 0.8044
0.3890 0.9142 0.6289
0.7223 0.5809 0.6289
0.8355 0.7858 0.9478
0.6085 0.3766 0.3099
```

Summary:
VASP energy = -11.8 eV/f.u.
Symmetry = Cm, No. 8
Offset from the most stable computed form = 4 meV/atom
Formation energy from raw total energies = -1.4 eV per formula unit

## Na2SrZn9 (PBE)

Data for a relaxed Na2SrZn9 crystal.

Cell and atoms, written as POSCAR:
```
Na2SrZn9
1.0
-2.0780 -1.0461 -4.9721
-3.1788 -4.4080 -0.7744
-8.7973 2.9203 0.0320
Na Sr Zn
2 1 9
Direct
0.8552 0.8552 0.4343
0.1448 0.1448 0.5657
0.0000 0.0000 0.0000
0.6661 0.6661 0.0017
0.3339 0.3339 0.9983
0.5000 0.5000 0.5000
0.4149 0.4149 0.2506
0.9196 0.4149 0.2506
0.4149 0.9196 0.2506
0.5851 0.5851 0.7494
0.5851 0.0804 0.7494
0.0804 0.5851 0.7494
```

Summary:
ΔE_f = -0.106 eV/atom
VASP energy = -17.1 eV/f.u.
Symmetry = R-3m, No. 166

## Ba2Tc2F (PBE)

Data for a relaxed Ba2Tc2F crystal.

Cell and atoms, written as POSCAR:
```
Ba2Tc2F
1.0
-7.6882 1.1829 -4.8256
-4.7423 -4.3990 6.4772
-0.5558 2.9777 1.6154
F Ba Tc
2 4 4
Direct
0.0000 0.0000 0.0000
0.5000 0.5000 0.0000
0.2002 0.7002 0.5000
0.7002 0.7998 0.5000
0.7998 0.2998 0.5000
0.2998 0.2002 0.5000
0.4179 0.9179 0.0000
0.9179 0.5821 0.0000
0.5821 0.0821 0.0000
0.0821 0.4179 0.0000
```

Summary:
VASP energy = -25.4 eV/f.u.
Symmetry = P4/mbm, No. 127
Offset from the most stable computed form = 0 meV/atom
Formation energy from raw total energies = 1.0 eV per formula unit

## SmPd15Pb4 (PBE)

Data for a relaxed SmPd15Pb4 crystal.

Cell and atoms, written as POSCAR:
```
SmPd15Pb4
1.0
4.1266 0.0000 0.0000
0.0000 4.1266 0.0000
0.0000 0.0000 20.5864
Sm Pd Pb
1 15 4
Direct
0.0000 0.0000 0.0000
0.5000 0.5000 0.0000
0.5000 0.5000 0.2023
0.5000 0.5000 0.4005
0.5000 0.5000 0.5995
0.5000 0.5000 0.7977
0.5000 0.0000 0.1028
0.5000 0.0000 0.3011
0.5000 0.0000 0.5000
0.5000 0.0000 0.6989
0.5000 0.0000 0.8972
0.0000 0.5000 0.1028
0.0000 0.5000 0.3011
0.0000 0.5000 0.5000
0.0000 0.5000 0.6989
0.0000 0.5000 0.8972
0.0000 0.0000 0.2021
0.0000 0.0000 0.4008
0.0000 0.0000 0.5992
0.0000 0.0000 0.7979
```

Summary:
ΔE_f = -0.394 eV/atom
VASP energy = -105.3 eV/f.u.
Symmetry = P4/mmm, No. 123

## Sr2Pm3Ge2 (PBE)

Data for a relaxed Sr2Pm3Ge2 crystal.

Cell and atoms, written as POSCAR:
```
Sr2Pm3Ge2
1.0
-0.8924 2.6092 -3.4302
-5.1493 0.3840 4.4553
6.7148 5.3094 2.2916
Sr Pm Ge
2 3 2
Direct
0.8450 0.6900 0.1977
0.1550 0.3100 0.8023
0.5000 0.0000 0.0000
0.6311 0.2621 0.4332
0.3689 0.7379 0.5668
0.8424 0.6849 0.7829
0.1576 0.3151 0.2171
```

Summary:
ΔE_f = -0.418 eV/atom
VASP energy = -29.8 eV/f.u.
Symmetry = C2/m, No. 12

## Be2NiPt2 (PBE)

Data for a relaxed Be2NiPt2 crystal.

Cell and atoms, written as POSCAR:
```
Be2NiPt2
1.0
-5.1805 -0.7464 3.8614
-1.5977 -5.4360 -3.1942
1.5264 -1.4835 1.7611
Ni Pt Be
2 4 4
Direct
0.0000 0.0000 0.0000
0.5000 0.5000 0.0000
0.1658 0.6658 0.5000
0.6658 0.8342 0.5000
0.8342 0.3342 0.5000
0.3342 0.1658 0.5000
0.3686 0.8686 0.0000
0.8686 0.6314 0.0000
0.6314 0.1314 0.0000
0.1314 0.3686 0.0000
```

Summary:
ΔE_f = -0.520 eV/atom
VASP energy = -27.9 eV/f.u.
Symmetry = P4/mbm, No. 127
Offset from the most stable computed form = 0 meV/atom

## AlAgTe2Pt (PBE)

Data for a relaxed AlAgTe2Pt crystal.

Cell and atoms, written as POSCAR:
```
AlAgTe2Pt
1.0
-1.4420 3.8548 -3.2369
-4.5129 -0.5165 1.3954
0.7801 3.4976 3.8177
Te Ag Pt Al
2 1 1 1
Direct
0.0000 0.0000 0.5000
0.5000 0.0000 0.0000
0.0000 0.5000 0.0000
0.5000 0.5000 0.5000
0.0000 0.0000 0.0000
```

Summary:
VASP energy = -15.0 eV/f.u.
Symmetry = P4/mmm, No. 123
Formation energy from raw total energies = 4.0 eV per formula unit

## Ba2LiSb (PBE)

Data for a relaxed Ba2LiSb crystal.

Cell and atoms, written as POSCAR:
```
Ba2LiSb
1.0
4.8669 0.0000 0.0000
0.0000 4.8669 0.0000
0.0000 0.0000 7.2084
Ba Li Sb
2 1 1
Direct
0.0000 0.0000 0.9183
0.5000 0.5000 0.3091
0.0000 0.0000 0.4825
0.5000 0.5000 0.7900
```

Summary:
VASP energy = -11.4 eV/f.u.
Symmetry = P4mm, No. 99
Formation energy from raw total energies = -1.6 eV per formula unit

## Y2AsPb (PBE)

Data for a relaxed Y2AsPb crystal.

Cell and atoms, written as POSCAR:
```
Y2AsPb
1.0
-1.5863 5.6257 7.4499
-0.7084 2.2537 9.1698
2.1308 4.6263 7.9826
Pb Y As
1 2 1
Direct
0.7657 0.7657 0.7657
0.0013 0.0013 0.0013
0.2325 0.2325 0.2325
0.5005 0.5005 0.5005
```

Summary:
ΔE_f = -0.169 eV/atom
VASP energy = -22.0 eV/f.u.
Symmetry = R3m, No. 160
Offset from the most stable computed form = 847 meV/atom

## PmNd5Hg2 (PBE)

Data for a relaxed PmNd5Hg2 crystal.

Cell and atoms, written as POSCAR:
```
PmNd5Hg2
1.0
3.7882 0.0000 0.0000
1.8941 8.2144 -0.6514
1.8941 1.8501 8.0298
Pm Nd Hg
1 5 2
Direct
0.0000 0.0000 0.0000
0.0000 0.5000 0.5000
0.6391 0.5798 0.1421
0.3609 0.4202 0.8579
0.3609 0.8579 0.4202
0.6391 0.1421 0.5798
0.7282 0.7718 0.7718
0.2718 0.2282 0.2282
```

Summary:
ΔE_f = -0.162 eV/atom
VASP energy = -30.5 eV/f.u.
Symmetry = Immm, No. 71

## SmEr7Tl5 (PBE)

Data for a relaxed SmEr7Tl5 crystal.

Cell and atoms, written as POSCAR:
```
SmEr7Tl5
1.0
6.4661 0.0000 0.0000
3.2330 7.6395 -0.0186
3.2330 -0.0432 7.6394
Sm Er Tl
1 7 5
Direct
0.9854 0.0146 0.0146
0.6389 0.3611 0.3611
0.3260 0.6740 0.6740
0.9965 0.3463 0.6608
0.9965 0.6608 0.3463
0.2721 0.2279 0.2279
0.5125 0.7897 0.1853
0.5125 0.1853 0.7897
0.5060 0.0044 0.4822
0.0074 0.0044 0.4822
0.5060 0.4822 0.0044
0.0074 0.4822 0.0044
0.7330 0.7670 0.7670
```

Summary:
ΔE_f = -0.135 eV/atom
VASP energy = -50.2 eV/f.u.
Symmetry = Imm2, No. 44

## NaCeAu2 (PBE)

Data for a relaxed NaCeAu2 crystal.

Cell and atoms, written as POSCAR:
```
NaCeAu2
1.0
4.1898 0.0000 0.0000
2.0949 3.6284 0.0000
2.0949 1.2095 7.1834
Na Ce Au
1 1 2
Direct
0.4972 0.4972 0.5083
0.6685 0.6685 0.9946
0.0839 0.0839 0.7483
0.2504 0.2504 0.2488
```

Summary:
ΔE_f = -0.367 eV/atom
VASP energy = -15.3 eV/f.u.
Symmetry = R3m, No. 160
Offset from the most stable computed form = 130 meV/atom

## DyGe2Ir3 (PBE)

Data for a relaxed DyGe2Ir3 crystal.

Cell and atoms, written as POSCAR:
```
DyGe2Ir3
1.0
4.0545 0.0000 0.0000
-2.0273 7.7977 -2.5437
0.0000 -0.0033 9.8555
Dy Ge Ir
3 6 9
Direct
0.1613 0.3226 0.7039
0.8387 0.6774 0.2961
0.0000 0.0000 0.0000
0.1944 0.3887 0.1280
0.8056 0.6113 0.8720
0.4615 0.9230 0.2180
0.5385 0.0770 0.7820
0.3621 0.7243 0.5445
0.6379 0.2757 0.4555
0.0403 0.0807 0.3291
0.9597 0.9193 0.6709
0.2171 0.4343 0.3918
0.7829 0.5657 0.6082
0.6202 0.2405 0.1974
0.3798 0.7595 0.8026
0.5000 0.0000 0.5000
0.3207 0.6413 0.0419
0.6793 0.3587 0.9581
```

Summary:
ΔE_f = -0.622 eV/atom
VASP energy = -44.2 eV/f.u.
Symmetry = C2/m, No. 12

## MnW2Au (PBE)

Data for a relaxed MnW2Au crystal.

Cell and atoms, written as POSCAR:
```
MnW2Au
1.0
-4.5046 -1.1702 -1.2152
-2.9667 -1.5959 -3.4336
0.2752 -4.8870 1.1285
Au Mn W
1 1 2
Direct
0.5015 0.5015 0.4925
0.2504 0.2504 0.2479
0.9962 0.9962 0.0077
0.7519 0.7519 0.7519
```

Summary:
ΔE_f = 0.361 eV/atom
VASP energy = -36.9 eV/f.u.
Symmetry = Cm, No. 8
Offset from the most stable computed form = 138 meV/atom

## Ho6Sb5Pb (PBE)

Data for a relaxed Ho6Sb5Pb crystal.

Cell and atoms, written as POSCAR:
```
Ho6Sb5Pb
1.0
7.4881 0.1885 1.1408
1.8460 6.3513 3.7035
0.1273 0.0614 7.5891
Pb Sb Ho
1 5 6
Direct
0.0000 0.0000 0.0000
0.5000 0.1662 0.6675
0.0000 0.3334 0.3332
0.5000 0.5000 0.0000
0.0000 0.6666 0.6668
0.5000 0.8338 0.3325
0.7489 0.0835 0.3370
0.2511 0.5794 0.3370
0.2512 0.2531 0.0000
0.7488 0.7469 0.0000
0.7489 0.4206 0.6630
0.2511 0.9165 0.6630
```

Summary:
VASP energy = -63.5 eV/f.u.
Symmetry = C2/m, No. 12
Formation energy from raw total energies = -11.7 eV per formula unit

## TbCe2Hg4 (PBE)

Data for a relaxed TbCe2Hg4 crystal.

Cell and atoms, written as POSCAR:
```
TbCe2Hg4
1.0
5.4897 0.0000 0.0000
0.0000 3.3863 0.0000
0.0000 -1.6932 10.9779
Tb Ce Hg
1 2 4
Direct
0.0000 0.5000 0.0000
0.5000 0.0615 0.1231
0.5000 0.9385 0.8769
0.5000 0.6941 0.3882
0.0000 0.6352 0.2703
0.5000 0.3059 0.6118
0.0000 0.3648 0.7297
```

Summary:
ΔE_f = -0.043 eV/atom
VASP energy = -18.0 eV/f.u.
Symmetry = Cmmm, No. 65
Offset from the most stable computed form = 183 meV/atom

## Rb2SnOF6 (PBE)

Data for a relaxed Rb2SnOF6 crystal.

Cell and atoms, written as POSCAR:
```
Rb2SnOF6
1.0
6.3663 0.0000 0.0000
0.0000 6.3663 0.0000
3.1832 3.1832 4.8546
O Sn Rb F
1 1 2 6
Direct
0.5000 0.5000 0.0000
0.0000 0.0000 0.0000
0.7500 0.2500 0.5000
0.2500 0.7500 0.5000
0.2060 0.2060 0.5881
0.7940 0.7940 0.4119
0.2222 0.2222 0.0000
0.7778 0.7778 0.0000
0.7778 0.2222 0.0000
0.2222 0.7778 0.0000
```

Summary:
VASP energy = -43.6 eV/f.u.
Symmetry = I4/mmm, No. 139
Formation energy from raw total energies = -21.5 eV per formula unit

## ZrTa5 (PBE)

Data for a relaxed ZrTa5 crystal.

Cell and atoms, written as POSCAR:
```
ZrTa5
1.0
1.4576 5.2278 -0.0005
-1.4576 5.2278 -0.0005
0.0000 3.2380 7.6191
Zr Ta
1 5
Direct
0.2877 0.2877 0.9353
0.9993 0.9993 0.0120
0.6106 0.6106 0.2788
0.3264 0.3264 0.3392
0.9509 0.9509 0.5951
0.6585 0.6585 0.6728
```

Summary:
ΔE_f = 0.209 eV/atom
VASP energy = -66.6 eV/f.u.
Symmetry = Cm, No. 8
Offset from the most stable computed form = 130 meV/atom

## Tb2Dy2HoMg2 (PBE)

Data for a relaxed Tb2Dy2HoMg2 crystal.

Cell and atoms, written as POSCAR:
```
Tb2Dy2HoMg2
1.0
-0.9262 -2.7222 4.6092
3.8423 -3.2420 2.0589
3.8914 4.1446 6.4314
Tb Dy Ho Mg
2 2 1 2
Direct
0.1548 0.1548 0.5355
0.8452 0.8452 0.4645
0.5734 0.5734 0.2797
0.4266 0.4266 0.7203
0.0000 0.0000 0.0000
0.7105 0.7105 0.8684
0.2895 0.2895 0.1316
```

Summary:
ΔE_f = -0.019 eV/atom
VASP energy = -26.4 eV/f.u.
Symmetry = R-3m, No. 166

## Sm2Er3N4 (PBE)

Data for a relaxed Sm2Er3N4 crystal.

Cell and atoms, written as POSCAR:
```
Sm2Er3N4
1.0
3.3784 0.0000 0.8310
1.4916 5.7407 1.2189
-0.1521 0.5220 7.9008
Sm Er N
2 3 4
Direct
0.6035 0.1808 0.6122
0.3965 0.8192 0.3878
0.0000 0.0000 0.0000
0.2083 0.3994 0.1840
0.7917 0.6006 0.8159
0.8016 0.1043 0.2925
0.1984 0.8957 0.7075
0.3949 0.3026 0.9075
0.6051 0.6974 0.0925
```

Summary:
VASP energy = -69.6 eV/f.u.
Symmetry = C2/m, No. 12
Formation energy from raw total energies = -13.2 eV per formula unit